1.
Nd3Y6Er2Pu, relaxed, DFT PBE; energy relative to the elements = 0.6 eV/f.u.; Fermi-level density of states = 1.972 states/eV per atom; uncorrected energy = -6.3322 eV/atom
1.0
3.099 -5.368 0.000
3.099 5.368 0.000
-2.069 0.000 11.610
Nd Y Er Pu
3 6 2 1
Cartesian
0.000 0.000 0.000 Nd
3.099 1.795 0.000 Nd
3.099 -1.795 0.000 Nd
1.044 1.768 2.970 Y
0.022 0.000 8.641 Y
1.044 -1.768 2.970 Y
3.085 1.768 8.640 Y
4.107 0.000 2.969 Y
3.085 -1.768 8.640 Y
2.064 3.579 5.805 Er
2.064 -3.579 5.805 Er
2.064 0.000 5.805 Pu

2.
Nd2Y6Er3Pu, relaxed, DFT PBE; energy relative to the elements = 0.6 eV/f.u.; Fermi-level density of states = 2.207 states/eV per atom; uncorrected energy = -6.3076 eV/atom
1.0
3.087 -5.350 0.000
3.087 5.350 0.000
-2.067 0.000 11.584
Nd Y Er Pu
2 6 3 1
Cartesian
3.087 3.568 0.000 Nd
3.087 -3.568 0.000 Nd
0.007 1.762 8.669 Y
1.050 0.000 2.917 Y
0.007 -1.762 8.669 Y
4.100 1.762 2.915 Y
3.057 0.000 8.667 Y
4.100 -1.762 2.915 Y
-1.033 0.000 5.792 Er
2.053 1.784 5.792 Er
2.053 -1.784 5.792 Er
3.087 0.000 0.000 Pu

3.
Rb3Nd2ErS6, relaxed, DFT PBE; Fermi-level density of states = 0.000 states/eV per atom; uncorrected energy = -5.3106 eV/atom; energy relative to the elements, uncorrected = -42.2 kcal/mol of atoms
1.0
3.608 -6.250 0.000
3.608 6.250 0.000
-2.407 0.000 7.711
Rb Nd Er S
3 2 1 6
Cartesian
0.000 0.000 0.000 Rb
3.608 2.098 0.000 Rb
3.608 -2.098 0.000 Rb
2.405 4.168 3.856 Nd
2.405 -4.168 3.856 Nd
2.405 0.000 3.856 Er
1.239 2.019 2.354 S
0.074 0.000 5.360 S
1.239 -2.019 2.354 S
3.570 2.019 5.358 S
4.735 0.000 2.352 S
3.570 -2.019 5.358 S